Entry 1:
An optimized crystal structure of K2TcAu. Source: Alexandria, functional PBE-GGA.

abc: 4.0337 4.0735 11.0284
angles: 90.00 90.00 90.00
Space group Cmmm (No. 65)
One atom of each set of equivalent atoms:
K (0.0000, 0.0000, 0.2495) (multiplicity 4)
Tc (0.0000, 0.5000, 0.0000) (multiplicity 2)
Au (0.0000, 0.5000, 0.5000) (multiplicity 2)

Summary:
- energy of formation from the pure elements (meV per atom) = 812
- size of the total moment (μB per formula unit) = 0.0
- polymorph energy (0 for the lowest one) (meV/atom) = 189
- total DFT energy (no corrections) (eV/atom) = -3.147

Entry 2:
An optimized crystal structure of Pr2Al4Zn3In. Source: Alexandria, functional PBE-GGA.

abc: 4.2938 4.2938 11.1653
angles: 90.00 90.00 90.00
Space group P-4m2 (No. 115)
One atom of each set of equivalent atoms:
Pr (0.0000, 0.5000, 0.2439) (multiplicity 2)
Al (0.0000, 0.0000, 0.0000) (multiplicity 1)
Al (0.0000, 0.5000, 0.6484) (multiplicity 2)
Al (0.5000, 0.5000, 0.0000) (multiplicity 1)
Zn (0.0000, 0.5000, 0.8682) (multiplicity 2)
Zn (0.5000, 0.5000, 0.5000) (multiplicity 1)
In (0.0000, 0.0000, 0.5000) (multiplicity 1)

Summary:
- energy of formation from the pure elements (meV per atom) = -379
- size of the total moment (μB per formula unit) = 0.0
- total DFT energy (no corrections) (eV/atom) = -3.488

Entry 3:
An optimized crystal structure of Dy2AgAu3. Source: Alexandria, functional PBE-GGA.

abc: 4.9858 4.9858 12.0405
angles: 90.00 90.00 120.00
Space group P-3m1 (No. 164)
One atom of each set of equivalent atoms:
Dy (0.0000, 0.0000, 0.0000) (multiplicity 1)
Dy (0.0000, 0.0000, 0.5000) (multiplicity 1)
Dy (0.3333, 0.6667, 0.1887) (multiplicity 2)
Ag (0.3333, 0.6667, 0.6754) (multiplicity 2)
Au (0.0000, 0.0000, 0.2460) (multiplicity 2)
Au (0.3333, 0.6667, 0.4333) (multiplicity 2)
Au (0.3333, 0.6667, 0.9311) (multiplicity 2)

Summary:
- energy of formation from the pure elements (meV per atom) = -691
- size of the total moment (μB per formula unit) = 0.0
- polymorph energy (0 for the lowest one) (meV/atom) = 0
- total DFT energy (no corrections) (eV/atom) = -4.339

Entry 4:
An optimized crystal structure of AsIr3. Source: Alexandria, functional PBE-GGA.

abc: 4.0025 4.0025 7.5193
angles: 90.00 90.00 90.00
Space group I4/mmm (No. 139)
One atom of each set of equivalent atoms:
As (0.0000, 0.0000, 0.0000) (multiplicity 2)
Ir (0.0000, 0.0000, 0.5000) (multiplicity 2)
Ir (0.0000, 0.5000, 0.2500) (multiplicity 4)

Summary:
- energy of formation from the pure elements (meV per atom) = 303
- size of the total moment (μB per formula unit) = 0.0
- polymorph energy (0 for the lowest one) (meV/atom) = 226
- total DFT energy (no corrections) (eV/atom) = -7.505